Material: Nd2Pd2Au15
Method: DFT, PBE
State: optimized geometry

## Properties
- ΔE_f: -279.7 meV/atom
- Theoretical density: 15.17 g/cm³
- M_tot: 0.00 Bohr magnetons per cell
- Calculated volume: 1135 Å³/cell

Unit cell a=9.5675 b=9.5675 c=14.3146 alpha=90.00 beta=90.00 gamma=120.00
Space group R-3m (No. 166, hexagonal axes)
Inequivalent atoms, fractional coordinates:
1 Nd 0.0000 0.0000 0.1827
2 Pd 0.0000 0.0000 0.3982
3 Au 0.0000 0.2980 0.5000
4 Au 0.0000 0.5000 0.0000
5 Au 0.0100 0.5050 0.6450